Entry 1:
BaMo2Rh | GGA-PBE | optimized geometry

abc: 4.9076 4.9076 3.1209
angles: 90.00 90.00 90.00
Closest atoms and distances in Å follow each position.
Space group P4/mmm (No. 123)
One atom of each set of equivalent atoms:
Ba 0.0000 0.0000 0.0000  8 Mo 2.91, 2 Ba 3.12
Mo 0.0000 0.5000 0.5000  4 Ba 2.91, 4 Rh 2.91, 2 Mo 3.12
Rh 0.5000 0.5000 0.0000  8 Mo 2.91, 2 Rh 3.12

Values from the calculation:
offset from the most stable computed form	826	meV per atom
crystal system	tetragonal
energy relative to the elements	1.295	eV/atom

***

Entry 2:
BaMoRh | GGA-PBE | optimized geometry

abc: 12.2984 4.4489 5.3643
angles: 90.00 91.53 90.00
Closest atoms and distances in Å follow each position.
Space group Cm (No. 8)
One atom of each set of equivalent atoms:
Ba 0.0000 0.0000 0.0000  1 Rh 3.24, 2 Mo 3.44-3.55, 4 Ba 3.53-3.61
Ba 0.0631 0.5000 0.5129  1 Mo 3.14, 2 Rh 3.42-3.44
Mo 0.2896 0.0000 0.2236  4 Rh 2.55-2.71, 2 Mo 2.70
Mo 0.3179 0.5000 0.5031  3 Rh 2.56-2.74, 2 Mo 2.70
Rh 0.2371 0.5000 0.0217  3 Mo 2.55-2.74, 2 Rh 2.81
Rh 0.2897 0.0000 0.7285  4 Mo 2.56-2.71, 2 Rh 2.81

Values from the calculation:
offset from the most stable computed form	152	meV per atom
crystal system	monoclinic
energy relative to the elements	0.285	eV/atom

***

Entry 3:
Ba2MoRh | GGA-PBE | optimized geometry

abc: 3.8470 4.0477 7.6616
angles: 90.00 90.00 90.00
Closest atoms and distances in Å follow each position.
Space group Pmmm (No. 47)
One atom of each set of equivalent atoms:
Ba 0.0000 0.0000 0.2289  4 Rh 3.30, 4 Mo 3.48, 1 Ba 3.51
Mo 0.5000 0.5000 0.5000  8 Ba 3.48, 2 Rh 3.83, 2 Mo 3.85
Rh 0.5000 0.5000 0.0000  8 Ba 3.30

Values from the calculation:
offset from the most stable computed form	482	meV per atom
crystal system	orthorhombic
energy relative to the elements	0.876	eV/atom

***

Entry 4:
BaMo4Rh | GGA-PBE | optimized geometry

abc: 7.7029 7.7029 7.7029
angles: 90.00 90.00 90.00
Closest atoms and distances in Å follow each position.
Space group F-43m (No. 216)
One atom of each set of equivalent atoms:
Ba 0.0000 0.0000 0.0000  12 Mo 3.19, 4 Rh 3.34
Mo 0.1245 0.1245 0.6245  6 Mo 2.71-2.74
Rh 0.2500 0.2500 0.2500  12 Mo 3.19, 4 Ba 3.34

Values from the calculation:
crystal system	cubic
energy relative to the elements	0.853	eV/atom

***

Entry 5:
BaMo2Rh | GGA-PBE | optimized geometry

abc: 5.4588 10.2205 2.8657
angles: 90.00 90.00 90.00
Closest atoms and distances in Å follow each position.
Space group Cmmm (No. 65)
One atom of each set of equivalent atoms:
Ba 0.0000 0.0000 0.0000  2 Rh 2.73, 2 Ba 2.87
Mo 0.2500 0.2500 0.5000  4 Mo 2.73-2.87
Rh 0.0000 0.5000 0.0000  2 Ba 2.73, 2 Rh 2.87

Values from the calculation:
offset from the most stable computed form	682	meV per atom
crystal system	orthorhombic
energy relative to the elements	1.151	eV/atom

***

Entry 6:
BaMo2Rh | GGA-PBE | optimized geometry

abc: 6.6730 6.6730 6.6730
angles: 90.00 90.00 90.00
Closest atoms and distances in Å follow each position.
Space group Fm-3m (No. 225)
One atom of each set of equivalent atoms:
Ba 0.0000 0.0000 0.0000  8 Mo 2.89
Mo 0.2500 0.2500 0.2500  4 Ba 2.89, 4 Rh 2.89
Rh 0.0000 0.0000 0.5000  8 Mo 2.89

Values from the calculation:
offset from the most stable computed form	654	meV per atom
crystal system	cubic
energy relative to the elements	1.123	eV/atom

***

- Which of these has the lowest energy relative to the elements?
  BaMoRh

***

- energy relative to the elements of number 5 (BaMo2Rh)?
  1.151 eV/atom

***

- Number 1 is which compound?
  BaMo2Rh